First-principles (PBE) data for a relaxed CeDyO2 crystal, as listed in the Alexandria database.

Unit cell a=3.4253 b=3.4253 c=17.4109 alpha=90.00 beta=90.00 gamma=120.00
Space group R-3m (No. 166, hexagonal axes)
Symmetry-distinct sites (fractional):
Ce 0.0000 0.0000 0.0000 [3 per cell]
Dy 0.0000 0.0000 0.5000 [3 per cell]
O 0.0000 0.0000 0.2396 [6 per cell]

Summary:
Crystal system: trigonal
Density of states at the Fermi level in states/eV/atom: 0.928

***

First-principles (PBE) data for a relaxed CeDyP2O8 crystal, as listed in the Alexandria database.

Unit cell a=5.2866 b=5.2866 c=7.1842 alpha=90.00 beta=90.00 gamma=120.00
Space group P-3m1 (No. 164)
Symmetry-distinct sites (fractional):
Ce 0.0000 0.0000 0.0000 [1 per cell]
Dy 0.0000 0.0000 0.5000 [1 per cell]
P 0.3333 0.6667 0.7938 [2 per cell]
O 0.1739 0.3477 0.7195 [6 per cell]
O 0.3333 0.6667 0.0066 [2 per cell]

Summary:
Crystal system: trigonal
Density of states at the Fermi level in states/eV/atom: 0.583

***

First-principles (PBE) data for a relaxed Ce2Dy4Pb3O2 crystal, as listed in the Alexandria database.

Unit cell a=4.7075 b=4.7075 c=25.7389 alpha=90.00 beta=90.00 gamma=90.00
Space group I4/mmm (No. 139)
Symmetry-distinct sites (fractional):
Ce 0.0000 0.0000 0.1945 [4 per cell]
Dy 0.0000 0.5000 0.0825 [8 per cell]
Pb 0.0000 0.0000 0.3252 [4 per cell]
Pb 0.0000 0.0000 0.5000 [2 per cell]
O 0.0000 0.0000 0.0960 [4 per cell]

Summary:
Crystal system: tetragonal
Density of states at the Fermi level in states/eV/atom: 1.488

***

First-principles (PBE) data for a relaxed CeDyPtO6 crystal, as listed in the Alexandria database.

Unit cell a=5.0038 b=5.0038 c=10.1856 alpha=90.00 beta=90.00 gamma=90.00
Space group P4_2nm (No. 102)
Symmetry-distinct sites (fractional):
Ce 0.0000 0.0000 0.0000 [2 per cell]
Dy 0.0000 0.0000 0.6628 [2 per cell]
Pt 0.0000 0.0000 0.3314 [2 per cell]
O 0.1855 0.1855 0.1817 [4 per cell]
O 0.1871 0.1871 0.4801 [4 per cell]
O 0.2161 0.2161 0.8317 [4 per cell]

Summary:
Crystal system: tetragonal
Density of states at the Fermi level in states/eV/atom: 0.753

***

First-principles (PBE) data for a relaxed Rb4CeDy3O8 crystal, as listed in the Alexandria database.

Unit cell a=7.1092 b=7.1092 c=19.7228 alpha=90.00 beta=90.00 gamma=120.00
Space group R-3m (No. 166, hexagonal axes)
Symmetry-distinct sites (fractional):
Rb 0.0000 0.0000 0.0000 [3 per cell]
Rb 0.0000 0.5000 0.0000 [9 per cell]
Ce 0.0000 0.0000 0.5000 [3 per cell]
Dy 0.0000 0.5000 0.5000 [9 per cell]
O 0.0000 0.0000 0.2250 [6 per cell]
O 0.0073 0.5036 0.7750 [18 per cell]

Summary:
Crystal system: trigonal
Density of states at the Fermi level in states/eV/atom: 0.254

***

First-principles (PBE) data for a relaxed Rb2CeDyO4 crystal, as listed in the Alexandria database.

Unit cell a=6.2283 b=3.5936 c=6.8999 alpha=90.00 beta=107.46 gamma=90.00
Space group P2/m (No. 10)
Symmetry-distinct sites (fractional):
Rb 0.0000 0.0000 0.0000 [1 per cell]
Rb 0.5000 0.5000 0.0000 [1 per cell]
Ce 0.0000 0.5000 0.5000 [1 per cell]
Dy 0.5000 0.0000 0.5000 [1 per cell]
O 0.2336 0.0000 0.6762 [2 per cell]
O 0.2820 0.5000 0.3252 [2 per cell]

Summary:
Crystal system: monoclinic
Density of states at the Fermi level in states/eV/atom: 0.336

***

First-principles (PBE) data for a relaxed CeDyS2O crystal, as listed in the Alexandria database.

Unit cell a=3.8936 b=3.8936 c=13.7496 alpha=90.00 beta=90.00 gamma=90.00
Space group P4/nmm (No. 129, origin choice 2)
Symmetry-distinct sites (fractional):
Ce 0.2500 0.2500 0.0933 [2 per cell]
Dy 0.2500 0.2500 0.6165 [2 per cell]
S 0.2500 0.2500 0.4063 [2 per cell]
S 0.2500 0.2500 0.8054 [2 per cell]
O 0.2500 0.7500 0.0000 [2 per cell]

Summary:
Crystal system: tetragonal
Density of states at the Fermi level in states/eV/atom: 1.288

***

First-principles (PBE) data for a relaxed CeDySbO2 crystal, as listed in the Alexandria database.

Unit cell a=3.9307 b=3.9307 c=12.8966 alpha=90.00 beta=90.00 gamma=90.00
Space group I4mm (No. 107)
Symmetry-distinct sites (fractional):
Ce 0.0000 0.0000 0.0000 [2 per cell]
Dy 0.0000 0.0000 0.3190 [2 per cell]
Sb 0.0000 0.0000 0.6592 [2 per cell]
O 0.0000 0.5000 0.4072 [4 per cell]

Summary:
Crystal system: tetragonal
Density of states at the Fermi level in states/eV/atom: 0.826

***

First-principles (PBE) data for a relaxed Sr2CeDyO6 crystal, as listed in the Alexandria database.

Unit cell a=6.0194 b=6.1769 c=10.5041 alpha=90.00 beta=124.90 gamma=90.00
Space group P2_1/c (No. 14)
Symmetry-distinct sites (fractional):
Sr 0.2348 0.0471 0.2500 [4 per cell]
Ce 0.5000 0.0000 0.0000 [2 per cell]
Dy 0.0000 0.0000 0.5000 [2 per cell]
O 0.1480 0.2035 0.9427 [4 per cell]
O 0.2404 0.7075 0.9421 [4 per cell]
O 0.3581 0.0447 0.7514 [4 per cell]

Summary:
Crystal system: monoclinic
Density of states at the Fermi level in states/eV/atom: 0.852

***

First-principles (PBE) data for a relaxed CeDy2TaO8 crystal, as listed in the Alexandria database.

Unit cell a=5.0528 b=6.9099 c=5.0542 alpha=90.00 beta=91.22 gamma=90.00
Space group P2/m (No. 10)
Symmetry-distinct sites (fractional):
Ce 0.0000 0.0000 0.0000 [1 per cell]
Dy 0.5000 0.2565 0.5000 [2 per cell]
Ta 0.0000 0.5000 0.0000 [1 per cell]
O 0.1833 0.2805 0.8156 [4 per cell]
O 0.2835 0.5000 0.2823 [2 per cell]
O 0.3036 0.0000 0.3021 [2 per cell]

Summary:
Crystal system: monoclinic
Density of states at the Fermi level in states/eV/atom: 0.523

***

Per-record energy relative to the elements, uncorrected, eV per atom: -2.87; -2.88; -1.35; -2.18; -2.65; -2.61; -2.55; -2.69; -2.98; -3.10